Compound: AsP
Source: Alexandria via LeMat-Bulk
Functional: PBE
Structure: optimized geometry

Cell: 7.1222 7.1222 7.1222 Å, 90.00 90.00 90.00°
Last column: nearest neighbours and their distance in Å.
Sites, in units of the cell vectors:
As1 0.0000 0.2500 0.5000  4 P 2.52
As2 0.0000 0.7500 0.5000  4 P 2.52
As3 0.2500 0.5000 0.0000  4 P 2.52
As4 0.5000 0.0000 0.2500  4 P 2.52
As5 0.5000 0.0000 0.7500  4 P 2.52
As6 0.7500 0.5000 0.0000  4 P 2.52
P1 0.0000 0.5000 0.2500  4 As 2.52
P2 0.0000 0.5000 0.7500  4 As 2.52
P3 0.2500 0.0000 0.5000  4 As 2.52
P4 0.5000 0.2500 0.0000  4 As 2.52
P5 0.5000 0.7500 0.0000  4 As 2.52
P6 0.7500 0.0000 0.5000  4 As 2.52

Calculated values
The magnetization is 0.00 Bohr magnetons per cell. The value obtained for the density of states at the Fermi level is 1.52 states/eV/f.u. Its energy above the lowest structure with this stoichiometry is 0.87 eV/f.u. The energy of formation is 0.4890 eV/atom. As for the total DFT energy (no corrections): -4.5407 eV per atom.